Sc6Ga2CN | PBE | optimized geometry

The structure belongs to space group Fm-3m (No. 225); the cell edges are 8.8712, 8.8712 and 8.8712 Å and the angles 90.00°, 90.00° and 90.00°. The distinct sites, in fractional coordinates, are Sc at (0.0000, 0.0000, 0.2494), Ga at (0.2500, 0.2500, 0.2500), C at (0.0000, 0.0000, 0.5000) and N at (0.0000, 0.0000, 0.0000).

Its density of states at the Fermi level is 0.317 states/eV per atom. As for the formation energy without anion corrections: -0.93 eV per atom.